Computed, not measured: an optimized crystal structure of Pm2SbOs at the GGA-PBE level of DFT.

## Properties
**N(E_F)**: 2.8 states/eV/f.u.
**Polymorph energy (0 for the lowest one)**: 206 meV/atom
**Formation energy (no corrections)**: -0.2036 eV per atom
**Calculated volume**: 99.8 Å³/cell

Unit cell a=5.2073 b=5.2073 c=5.2073 alpha=60.00 beta=60.00 gamma=60.00
Last column: magnetic moment on the atom in μB.
Fractional positions:
Sb (0.0000, 0.0000, 0.0000)  0.04
Os (0.5000, 0.5000, 0.5000)  0.41
Pm (0.2500, 0.2500, 0.2500)  -0.03
Pm (0.7500, 0.7500, 0.7500)  -0.03


Computed, not measured: an optimized crystal structure of PmSc3Os at the GGA-PBE level of DFT.

## Properties
**DFT formation energy**: -0.08 eV/atom
**N(E_F)**: 6.5 states/eV/f.u.
**Calculated volume**: 132.9 Å³/cell

Unit cell a=5.1035 b=5.1035 c=5.1035 alpha=90.00 beta=90.00 gamma=90.00
Fractional positions:
Sc (0.0000, 0.5000, 0.0000)
Sc (0.0000, 0.0000, 0.5000)
Sc (0.5000, 0.0000, 0.0000)
Os (0.0000, 0.0000, 0.0000)
Pm (0.5000, 0.5000, 0.5000)


Computed, not measured: an optimized crystal structure of PmScOs2 at the GGA-PBE level of DFT.

## Properties
**DFT formation energy**: -0.01 eV/atom
**N(E_F)**: 5.6 states/eV/f.u.
**Polymorph energy (0 for the lowest one)**: 0 meV/atom
**Calculated volume**: 75.9 Å³/cell

Unit cell a=3.3534 b=3.3534 c=6.7511 alpha=90.00 beta=90.00 gamma=90.00
Fractional positions:
Sc (0.5000, 0.5000, 0.0000)
Os (0.0000, 0.0000, 0.7748)
Os (0.0000, 0.0000, 0.2252)
Pm (0.5000, 0.5000, 0.5000)


Computed, not measured: an optimized crystal structure of PmSc2Os at the GGA-PBE level of DFT.

## Properties
**DFT formation energy**: -0.26 eV/atom
**N(E_F)**: 2.7 states/eV/f.u.
**Calculated volume**: 92.2 Å³/cell

Unit cell a=3.2756 b=3.2756 c=8.5902 alpha=90.00 beta=90.00 gamma=90.00
Fractional positions:
Sc (0.0000, 0.0000, 0.8226)
Sc (0.0000, 0.0000, 0.1774)
Os (0.5000, 0.5000, 0.0000)
Pm (0.5000, 0.5000, 0.5000)


Computed, not measured: an optimized crystal structure of PmScOs2 at the GGA-PBE level of DFT.

## Properties
**DFT formation energy**: 0.00 eV/atom
**N(E_F)**: 2.4 states/eV/f.u.
**Polymorph energy (0 for the lowest one)**: 5 meV/atom
**Calculated volume**: 75.5 Å³/cell

Unit cell a=4.7448 b=4.7448 c=4.7448 alpha=60.00 beta=60.00 gamma=60.00
Fractional positions:
Sc (0.0000, 0.0000, 0.0000)
Os (0.2500, 0.2500, 0.2500)
Os (0.7500, 0.7500, 0.7500)
Pm (0.5000, 0.5000, 0.5000)


Computed, not measured: an optimized crystal structure of PmOsSe at the GGA-PBE level of DFT.

## Properties
**N(E_F)**: 3.2 states/eV/f.u.
**Formation energy (no corrections)**: 0.0420 eV per atom
**Calculated volume**: 131.9 Å³/cell

Unit cell a=3.3575 b=3.8737 c=11.2515 alpha=90.00 beta=90.00 gamma=115.68
Fractional positions:
Os (0.5829, 0.1657, 0.0000)
Os (0.3087, 0.6174, 0.5000)
Se (0.6053, 0.2105, 0.3699)
Se (0.6053, 0.2105, 0.6301)
Pm (0.2823, 0.5645, 0.8307)
Pm (0.2823, 0.5645, 0.1693)


Question: Number 6 is which compound?
Answer: PmOsSe


Question: What is the calculated volume in the first record?
Answer: 99.8 Å³/cell


Question: Which value of calculated volume does entry 4 give?
Answer: 92.2 Å³/cell